DFT (PBE+U) results for crystalline MnTl2O at its relaxed geometry.

Polymorph energy (0 for the lowest one), meV/atom: 306.7
Final energy, eV/atom: -3.981

Cell lengths 6.9741, 6.9741, 6.9741 Å; angles 90.00, 90.00, 90.00 degrees
Sites, in units of the cell vectors:
Mn1 0.0000 0.0000 0.0000
Mn2 0.0000 0.5000 0.5000
Mn3 0.5000 0.0000 0.5000
Mn4 0.5000 0.5000 0.0000
Tl1 0.2500 0.2500 0.2500
Tl2 0.2500 0.2500 0.7500
Tl3 0.2500 0.7500 0.2500
Tl4 0.2500 0.7500 0.7500
Tl5 0.7500 0.2500 0.2500
Tl6 0.7500 0.2500 0.7500
Tl7 0.7500 0.7500 0.2500
Tl8 0.7500 0.7500 0.7500
O1 0.0000 0.0000 0.5000
O2 0.0000 0.5000 0.0000
O3 0.5000 0.0000 0.0000
O4 0.5000 0.5000 0.5000


DFT (PBE+U) results for crystalline MnTlO2 at its relaxed geometry.

Polymorph energy (0 for the lowest one), meV/atom: 23.1
Final energy, eV/atom: -6.123

Cell lengths 3.0137, 4.7159, 8.8039 Å; angles 90.00, 90.00, 90.00 degrees
Sites, in units of the cell vectors:
Mn1 0.2500 0.2500 0.0844
Mn2 0.7500 0.7500 0.9156
Tl1 0.2500 0.2500 0.6598
Tl2 0.7500 0.7500 0.3402
O1 0.2500 0.7500 0.0664
O2 0.2500 0.7500 0.7720
O3 0.7500 0.2500 0.2280
O4 0.7500 0.2500 0.9336


DFT (PBE+U) results for crystalline Mn5Tl3O12 at its relaxed geometry.

Final energy, eV/atom: -6.311

Cell lengths 11.0484, 11.0484, 11.0484 Å; angles 109.47, 109.47, 109.47 degrees
Sites, in units of the cell vectors:
Mn1 0.0000 0.0000 0.0000
Mn2 0.0000 0.0000 0.5000
Mn3 0.0000 0.5000 0.0000
Mn4 0.0000 0.5000 0.5000
Mn5 0.1250 0.7500 0.8750
Mn6 0.1250 0.8750 0.2500
Mn7 0.2500 0.1250 0.8750
Mn8 0.2500 0.6250 0.3750
Mn9 0.3750 0.2500 0.6250
Mn10 0.3750 0.6250 0.7500
Mn11 0.5000 0.0000 0.0000
Mn12 0.5000 0.0000 0.5000
Mn13 0.5000 0.5000 0.0000
Mn14 0.5000 0.5000 0.5000
Mn15 0.6250 0.3750 0.2500
Mn16 0.6250 0.7500 0.3750
Mn17 0.7500 0.3750 0.6250
Mn18 0.7500 0.8750 0.1250
Mn19 0.8750 0.1250 0.7500
Mn20 0.8750 0.2500 0.1250
Tl1 0.1250 0.2500 0.3750
Tl2 0.1250 0.3750 0.7500
Tl3 0.2500 0.3750 0.1250
Tl4 0.2500 0.8750 0.6250
Tl5 0.3750 0.1250 0.2500
Tl6 0.3750 0.7500 0.1250
Tl7 0.6250 0.2500 0.8750
Tl8 0.6250 0.8750 0.7500
Tl9 0.7500 0.1250 0.3750
Tl10 0.7500 0.6250 0.8750
Tl11 0.8750 0.6250 0.2500
Tl12 0.8750 0.7500 0.6250
O1 0.0228 0.1917 0.1274
O2 0.0228 0.3312 0.8954
O3 0.0643 0.6917 0.6688
O4 0.0643 0.8726 0.3954
O5 0.1046 0.6274 0.4357
O6 0.1046 0.9772 0.6688
O7 0.1274 0.0228 0.1917
O8 0.1274 0.6046 0.9357
O9 0.1688 0.1917 0.5643
O10 0.1688 0.4772 0.6046
O11 0.1917 0.1274 0.0228
O12 0.1917 0.5643 0.1688
O13 0.3083 0.3312 0.9357
O14 0.3083 0.4772 0.3726
O15 0.3312 0.8954 0.0228
O16 0.3312 0.9357 0.3083
O17 0.3726 0.3083 0.4772
O18 0.3726 0.5643 0.8954
O19 0.3954 0.0643 0.8726
O20 0.3954 0.8312 0.5228
O21 0.4357 0.1046 0.6274
O22 0.4357 0.8312 0.8083
O23 0.4772 0.3726 0.3083
O24 0.4772 0.6046 0.1688
O25 0.5228 0.3954 0.8312
O26 0.5228 0.6274 0.6917
O27 0.5643 0.1688 0.1917
O28 0.5643 0.8954 0.3726
O29 0.6046 0.1688 0.4772
O30 0.6046 0.9357 0.1274
O31 0.6274 0.4357 0.1046
O32 0.6274 0.6917 0.5228
O33 0.6688 0.0643 0.6917
O34 0.6688 0.1046 0.9772
O35 0.6917 0.5228 0.6274
O36 0.6917 0.6688 0.0643
O37 0.8083 0.4357 0.8312
O38 0.8083 0.8726 0.9772
O39 0.8312 0.5228 0.3954
O40 0.8312 0.8083 0.4357
O41 0.8726 0.3954 0.0643
O42 0.8726 0.9772 0.8083
O43 0.8954 0.0228 0.3312
O44 0.8954 0.3726 0.5643
O45 0.9357 0.1274 0.6046
O46 0.9357 0.3083 0.3312
O47 0.9772 0.6688 0.1046
O48 0.9772 0.8083 0.8726


DFT (PBE+U) results for crystalline Mn2TlO4 at its relaxed geometry.

Final energy, eV/atom: -6.603

Cell lengths 6.2915, 6.2915, 6.3858 Å; angles 118.42, 118.42, 91.01 degrees
Sites, in units of the cell vectors:
Mn1 0.0000 0.0000 0.0000
Mn2 0.0000 0.0000 0.5000
Mn3 0.0000 0.5000 0.0000
Mn4 0.5000 0.0000 0.5000
Tl1 0.3865 0.6135 0.7500
Tl2 0.6135 0.3865 0.2500
O1 0.1924 0.2497 0.9603
O2 0.2245 0.7392 0.0123
O3 0.2497 0.1924 0.4603
O4 0.2608 0.7755 0.4877
O5 0.7392 0.2245 0.5123
O6 0.7503 0.8076 0.5397
O7 0.7755 0.2608 0.9877
O8 0.8076 0.7503 0.0397


DFT (PBE+U) results for crystalline UMnTlO6 at its relaxed geometry.

Final energy, eV/atom: -7.489

Cell lengths 7.4471, 7.4471, 7.4471 Å; angles 122.67, 115.75, 91.47 degrees
Sites, in units of the cell vectors:
U1 0.0000 0.0000 0.0000
U2 0.5000 0.0000 0.5000
Mn1 0.5000 0.0000 0.0000
Mn2 0.5000 0.5000 0.5000
Tl1 0.1790 0.4290 0.7500
Tl2 0.8210 0.5710 0.2500
O1 0.1730 0.9230 0.2500
O2 0.2023 0.3264 0.2803
O3 0.2023 0.9219 0.8758
O4 0.4398 0.6898 0.7500
O5 0.4539 0.0781 0.7803
O6 0.4539 0.6736 0.3758
O7 0.5461 0.3264 0.6242
O8 0.5461 0.9219 0.2197
O9 0.5602 0.3102 0.2500
O10 0.7977 0.0781 0.1242
O11 0.7977 0.6736 0.7197
O12 0.8270 0.0770 0.7500


DFT (PBE+U) results for crystalline UMn2Tl2O6 at its relaxed geometry.

Final energy, eV/atom: -7.417

Cell lengths 5.6999, 5.6999, 6.9453 Å; angles 99.38, 99.38, 119.08 degrees
Sites, in units of the cell vectors:
U1 0.0000 0.0000 0.0000
Mn1 0.3351 0.6649 0.0000
Mn2 0.6649 0.3351 0.0000
Tl1 0.1742 0.8258 0.5000
Tl2 0.8258 0.1742 0.5000
O1 0.0562 0.3754 0.1675
O2 0.2513 0.2513 0.8345
O3 0.3754 0.0562 0.1675
O4 0.6246 0.9438 0.8325
O5 0.7487 0.7487 0.1655
O6 0.9438 0.6246 0.8325


DFT (PBE+U) results for crystalline UMnTl2O6 at its relaxed geometry.

Final energy, eV/atom: -7.126

Cell lengths 5.9671, 5.9671, 5.9671 Å; angles 122.03, 122.03, 86.52 degrees
Sites, in units of the cell vectors:
U1 0.0000 0.0000 0.0000
Mn1 0.5000 0.5000 0.0000
Tl1 0.2500 0.7500 0.5000
Tl2 0.7500 0.2500 0.5000
O1 0.2317 0.2317 0.0000
O2 0.2606 0.2606 0.5212
O3 0.2606 0.7394 0.0000
O4 0.7394 0.2606 0.0000
O5 0.7394 0.7394 0.4788
O6 0.7683 0.7683 0.0000


DFT (PBE+U) results for crystalline MnTl2WO6 at its relaxed geometry.

Final energy, eV/atom: -6.225

Cell lengths 5.7309, 5.7309, 5.7309 Å; angles 60.00, 60.00, 60.00 degrees
Sites, in units of the cell vectors:
Mn1 0.0000 0.0000 0.0000
Tl1 0.2500 0.2500 0.2500
Tl2 0.7500 0.7500 0.7500
W1 0.5000 0.5000 0.5000
O1 0.2584 0.2584 0.7416
O2 0.2584 0.7416 0.2584
O3 0.2584 0.7416 0.7416
O4 0.7416 0.2584 0.2584
O5 0.7416 0.2584 0.7416
O6 0.7416 0.7416 0.2584


Look up the final energy of the fifth one.
-7.489 eV/atom


What is the formula in the second record?
MnTlO2


Which value of final energy does entry 7 give?
-7.126 eV/atom